No. 1
LaRuO2 | SCAN | PBEsol geometry

The symmetry is R-3m (166). Its density of states at the Fermi level is 1.7 states/eV/cell. The value obtained for the uncorrected energy is -98.45 eV/cell.

Lattice parameters (Å, degrees): 3.822 3.822 6.158 71.92 71.92 60.00
Positions (direct):
1 O 0.889 0.889 0.333
2 O 0.111 0.111 0.667
3 La 0.500 0.500 0.500
4 Ru 0.000 0.000 0.000

---

No. 2
Ba2CdAu | SCAN | PBEsol geometry

The symmetry is P4/mmm (123). Its density of states at the Fermi level is 4.1 states/eV/cell. The value obtained for the uncorrected energy is -181.03 eV/cell. The formation energy is -590 meV/atom.

Lattice parameters (Å, degrees): 4.016 4.016 8.188 90.00 90.00 90.00
Positions (direct):
1 Au 0.500 0.500 0.500
2 Ba 0.000 0.000 0.268
3 Ba 0.000 0.000 0.732
4 Cd 0.500 0.500 0.000

---

No. 3
CsIO2 | SCAN | PBEsol geometry

The symmetry is R-3m (166). Its density of states at the Fermi level is 0.0 states/eV/cell. The value obtained for the uncorrected energy is -89.02 eV/cell.

Lattice parameters (Å, degrees): 3.955 3.955 5.992 70.73 70.73 60.00
Positions (direct):
1 O 0.803 0.803 0.592
2 O 0.197 0.197 0.408
3 Cs 0.000 0.000 0.000
4 I 0.500 0.500 0.500

---

No. 4
Ba2AlW | SCAN | PBEsol geometry

The symmetry is Cmmm (65). Its density of states at the Fermi level is 3.9 states/eV/cell. The value obtained for the uncorrected energy is -151.72 eV/cell. The formation energy is 1205 meV/atom.

Lattice parameters (Å, degrees): 3.134 6.119 6.119 114.43 90.00 90.00
Positions (direct):
1 Ba 0.000 0.500 0.000
2 Ba 0.000 0.000 0.500
3 Al 0.500 0.000 0.000
4 W 0.500 0.500 0.500

---

No. 5
ScCoSb2 | SCAN | PBEsol geometry

The symmetry is Cm (8). Its density of states at the Fermi level is 1.3 states/eV/cell. The value obtained for the uncorrected energy is -107.22 eV/cell.

Lattice parameters (Å, degrees): 3.743 4.286 5.370 101.52 110.40 90.00
Positions (direct):
1 Sc 0.531 0.587 0.062
2 Sb 0.000 0.070 0.001
3 Sb 0.259 0.675 0.518
4 Co 0.710 0.167 0.419

---

No. 6
TaPbW | SCAN | PBEsol geometry

The symmetry is F-43m (216). Its density of states at the Fermi level is 1.9 states/eV/cell. The value obtained for the uncorrected energy is -208.56 eV/cell. The formation energy is 1163 meV/atom.

Lattice parameters (Å, degrees): 4.549 4.549 4.549 60.00 60.00 60.00
Positions (direct):
1 W 0.000 0.000 0.000
2 Ta 0.250 0.250 0.250
3 Pb 0.500 0.500 0.500

---

No. 7
PWSe2 | SCAN | PBEsol geometry

The symmetry is P4mm (99). Its density of states at the Fermi level is 1.9 states/eV/cell. The value obtained for the uncorrected energy is -119.46 eV/cell.

Lattice parameters (Å, degrees): 3.152 3.152 7.003 90.00 90.00 90.00
Positions (direct):
1 W 0.000 0.000 0.543
2 Se 0.000 0.000 0.918
3 Se 0.500 0.500 0.317
4 P 0.500 0.500 0.722

---

No. 8
KLiCrHg2 | SCAN | PBEsol geometry

The symmetry is P4/mmm (123). Its density of states at the Fermi level is 1.9 states/eV/cell. The value obtained for the uncorrected energy is -164.70 eV/cell. The formation energy is 147 meV/atom.

Lattice parameters (Å, degrees): 4.941 5.052 5.052 90.00 90.00 90.00
Positions (direct):
1 Li 0.000 0.000 0.000
2 Hg 0.000 0.500 0.000
3 Hg 0.000 0.000 0.500
4 Cr 0.500 0.000 0.000
5 K 0.500 0.500 0.500

---

No. 9
YIn2Rh | SCAN | PBEsol geometry

The symmetry is Cm (8). Its density of states at the Fermi level is 2.9 states/eV/cell. The value obtained for the uncorrected energy is -130.30 eV/cell. The formation energy is -478 meV/atom.

Lattice parameters (Å, degrees): 3.223 3.223 8.909 79.66 79.66 89.96
Positions (direct):
1 In 0.970 0.970 0.686
2 In 0.803 0.803 0.016
3 Rh 0.564 0.564 0.499
4 Y 0.163 0.163 0.299

---

No. 10
Ca4Tc | SCAN | PBEsol geometry

The symmetry is Im-3m (229). Its density of states at the Fermi level is 4.3 states/eV/cell. The value obtained for the uncorrected energy is -70.85 eV/cell. The formation energy is 573 meV/atom.

Lattice parameters (Å, degrees): 6.001 6.001 6.001 109.47 109.47 109.47
Positions (direct):
1 Ca 0.500 0.500 0.500
2 Ca 0.000 0.500 0.000
3 Ca 0.000 0.000 0.500
4 Ca 0.500 0.000 0.000
5 Tc 0.000 0.000 0.000

---

No. 11
Bi12RuO20 | SCAN | PBEsol geometry

The symmetry is I23 (197). The value obtained for the uncorrected energy is -1138.64 eV/cell.

Lattice parameters (Å, degrees): 8.773 8.773 8.773 109.47 109.47 109.47
Positions (direct):
1 O 0.000 0.612 0.000
2 O 0.121 0.762 0.377
3 O 0.623 0.385 0.744
4 O 0.000 0.213 0.000
5 O 0.256 0.640 0.879
6 O 0.762 0.377 0.121
7 O 0.360 0.615 0.238
8 O 0.385 0.744 0.623
9 O 0.377 0.121 0.762
10 O 0.744 0.623 0.385
11 O 0.615 0.238 0.360
12 O 0.238 0.360 0.615
13 O 0.879 0.256 0.640
14 O 0.000 0.000 0.213
15 O 0.612 0.000 0.000
16 O 0.787 0.787 0.787
17 O 0.388 0.388 0.388
18 O 0.640 0.879 0.256
19 O 0.000 0.000 0.612
20 O 0.213 0.000 0.000
21 Bi 0.663 0.159 0.853
22 Bi 0.811 0.147 0.307
23 Bi 0.337 0.189 0.496
24 Bi 0.841 0.504 0.693
25 Bi 0.504 0.693 0.841
26 Bi 0.496 0.337 0.189
27 Bi 0.853 0.663 0.159
28 Bi 0.307 0.811 0.147
29 Bi 0.159 0.853 0.663
30 Bi 0.147 0.307 0.811
31 Bi 0.693 0.841 0.504
32 Bi 0.189 0.496 0.337
33 Ru 0.000 0.000 0.000

---

No. 12
Ca2CdCo | SCAN | PBEsol geometry

The symmetry is P4/mmm (123). Its density of states at the Fermi level is 3.7 states/eV/cell. The value obtained for the uncorrected energy is -66.92 eV/cell. The formation energy is 31 meV/atom.

Lattice parameters (Å, degrees): 3.454 3.454 7.536 90.00 90.00 90.00
Positions (direct):
1 Ca 0.000 0.000 0.213
2 Ca 0.000 0.000 0.787
3 Cd 0.500 0.500 0.500
4 Co 0.500 0.500 0.000

---

Question: Which value of uncorrected energy does entry 3 give?
Answer: -89.02 eV/cell

---

Question: Number 8 is which compound?
Answer: KLiCrHg2